Record 1
Material: Dy6Rh2Se3S
Method: DFT, PBE
State: relaxed

a b c (Å): 6.939 6.939 7.269
angles (deg): 99.25 99.25 120.06
Fractional positions:
Rh  0.667  0.333  0.000
Dy  0.733  0.733  0.229
Dy  0.418  0.075  0.227
Dy  0.582  0.925  0.773
Dy  0.925  0.582  0.773
Dy  0.075  0.418  0.227
Dy  0.267  0.267  0.771
S  0.000  0.000  0.000
Se  0.838  0.162  0.500
Se  0.500  0.500  0.500
Rh  0.333  0.667  0.000
Se  0.162  0.838  0.500

DOS at the Fermi energy: 6.66 states/eV/cell
E_form (uncorrected): -1.4702 eV/atom
Density: 8.39 Mg/m³
Final energy: -6.21 eV/atom

***

Record 2
Material: CrHS2
Method: DFT, PBE
State: relaxed

a b c (Å): 7.907 3.344 6.126
angles (deg): 89.99 56.47 102.24
Last column: magnetic moment on the atom in μB.
Fractional positions:
H  0.371  0.647  0.329  0.00
S  0.395  0.660  0.089  0.00
S  0.910  0.416  0.233  -0.08
S  0.353  0.139  0.684  -0.08
Cr  0.152  0.038  0.135  1.77
H  0.782  0.852  0.767  0.01
S  0.997  0.960  0.632  -0.06
Cr  0.116  0.520  0.797  1.80

DOS at the Fermi energy: 3.63 states/eV/cell
Density: 2.98 Mg/m³
Distance to the lowest polymorph of the same formula: 0.062 eV per atom
Final energy: -5.71 eV/atom

***

Record 3
Material: KHg2I4
Method: DFT, PBE
State: relaxed

a b c (Å): 9.793 9.510 9.510
angles (deg): 59.82 59.01 59.01
Fractional positions:
Hg  0.500  0.000  0.000
I  0.263  0.751  0.722
I  0.737  0.249  0.278
I  0.263  0.222  0.251
Hg  0.118  0.132  0.632
Hg  0.882  0.868  0.368
I  0.242  0.766  0.266
I  0.274  0.234  0.734
I  0.758  0.234  0.734
I  0.726  0.766  0.266
K  0.000  0.500  0.000
I  0.737  0.778  0.749
Hg  0.500  0.500  0.500
K  0.500  0.500  0.000

DOS at the Fermi energy: 4.37 states/eV/cell
E_form (uncorrected): -0.5245 eV/atom
Density: 5.11 Mg/m³
Distance to the lowest polymorph of the same formula: 0.061 eV per atom
Final energy: -1.65 eV/atom

***

Record 4
Material: Er6FePd2
Method: DFT, PBE
State: relaxed

a b c (Å): 6.414 7.303 9.641
angles (deg): 90.00 91.19 90.00
Fractional positions:
Fe  0.000  0.000  0.500
Pd  0.942  0.384  0.257
Pd  0.058  0.616  0.743
Er  0.332  0.816  0.939
Er  0.168  0.316  0.561
Er  0.640  0.467  0.750
Er  0.162  0.325  0.936
Er  0.360  0.533  0.250
Fe  0.500  0.500  0.000
Er  0.838  0.675  0.064
Pd  0.442  0.116  0.757
Er  0.140  0.033  0.250
Er  0.338  0.825  0.564
Er  0.668  0.184  0.061
Er  0.860  0.967  0.750
Er  0.832  0.684  0.439
Pd  0.558  0.884  0.243
Er  0.662  0.175  0.436

DOS at the Fermi energy: 14.95 states/eV/cell
Density: 9.36 Mg/m³
Final energy: -5.55 eV/atom
Energy relative to the elements: -412 meV/atom

***

Record 5
Material: Ti2Nb3Hg
Method: DFT, PBE
State: relaxed

a b c (Å): 4.770 7.422 8.127
angles (deg): 124.00 90.00 108.75
Last column: magnetic moment on the atom in μB.
Fractional positions:
Nb  0.711  0.423  0.384  0.01
Nb  0.952  0.904  0.608  0.01
Ti  0.209  0.417  0.865  0.17
Nb  0.289  0.577  0.616  0.01
Nb  0.622  0.244  0.623  -0.01
Hg  0.126  0.252  0.113  0.00
Nb  0.048  0.096  0.392  0.01
Nb  0.378  0.756  0.377  -0.01
Hg  0.874  0.748  0.887  0.00
Ti  0.465  0.930  0.146  0.10
Ti  0.535  0.070  0.854  0.10
Ti  0.791  0.583  0.135  0.17

DOS at the Fermi energy: 17.18 states/eV/cell
Density: 8.69 Mg/m³
Final energy: -7.63 eV/atom
Energy relative to the elements: 91 meV/atom